1.
Sr2CuF5 | PBE | optimized geometry

Calculated values
symmetry = P1
DOS(E_F) = 0.0 states/eV/cell
formation energy without anion corrections = -3070 meV per atom
crystal system = triclinic

```
Sr2CuF5
1.0
-1.306 -1.391 -6.113
2.591 -3.293 0.785
-5.321 0.810 4.891
F Cu Sr
5 1 2
direct
0.282 0.932 0.031
0.558 0.700 0.476
0.870 0.279 0.222
0.680 0.464 0.816
0.155 0.206 0.643
0.072 0.092 0.124
0.733 0.232 0.485
0.428 0.873 0.757
```

---

2.
Sr3CuF | PBE | optimized geometry

Calculated values
symmetry = Pm-3m
DOS(E_F) = 2.7 states/eV/cell
formation energy without anion corrections = -870 meV per atom
crystal system = cubic

```
Sr3CuF
1.0
-4.464 -2.318 1.667
2.265 -4.758 -0.549
1.737 0.250 4.999
Sr Cu F
3 1 1
direct
0.500 0.000 0.000
0.000 0.000 0.500
0.000 0.500 0.000
0.500 0.500 0.500
0.000 0.000 0.000
```

---

no.,total moment (μB/f.u.)
1,0.1
2,0.0